This record from OQMD describes a relaxed DyAlPd crystal. The functional is PBE-GGA.

**E**: -5.395 eV/atom

Cell: 6.888 4.440 7.785 Å, 90.00 90.00 90.00°
Atoms (fractional coordinates):
Al  0.144  0.750  0.062
Al  0.644  0.750  0.438
Al  0.356  0.250  0.562
Al  0.856  0.250  0.938
Dy  0.466  0.250  0.180
Dy  0.966  0.250  0.320
Dy  0.034  0.750  0.680
Dy  0.534  0.750  0.820
Pd  0.771  0.750  0.118
Pd  0.271  0.750  0.382
Pd  0.729  0.250  0.618
Pd  0.229  0.250  0.882